The following is a meta-GGA SCAN calculation of a PBEsol-optimized structure of Sr3Fe3N5, from Alexandria via LeMat-Bulk.

Unit cell a=5.498 b=7.048 c=8.453 alpha=108.84 beta=103.22 gamma=95.31
Sites, in units of the cell vectors:
Sr1 0.812 0.415 0.611
Sr2 0.188 0.585 0.389
Sr3 0.661 0.863 0.876
Sr4 0.339 0.137 0.124
Sr5 0.661 0.679 0.211
Sr6 0.339 0.321 0.789
Fe1 0.911 0.324 0.977
Fe2 0.089 0.676 0.023
Fe3 0.677 0.963 0.575
Fe4 0.323 0.037 0.425
Fe5 0.088 0.890 0.707
Fe6 0.912 0.110 0.293
N1 0.919 0.120 0.781
N2 0.081 0.880 0.219
N3 0.799 0.722 0.531
N4 0.201 0.278 0.469
N5 0.761 0.531 0.920
N6 0.239 0.469 0.080
N7 0.356 0.945 0.613
N8 0.644 0.055 0.387
N9 0.167 0.774 0.870
N10 0.833 0.226 0.130

formation energy without anion corrections = -0.6076 eV per atom
V = 13.49 Å³/atom
magnetic moment = 3.02 μB/f.u.
energy = -348.71 eV for the cell shown